No. 1
Compound: BeZnTe2
Source: Alexandria via LeMat-Bulk
Functional: GGA-PBE
Structure: relaxed

Results
Raw formation energy (eV/atom): 0.1621
Magnetic moment (μB per formula unit): 0.00

The structure in POSCAR format:
```
BeZnTe2
1.0
-0.281 0.512 3.580
4.033 -2.063 0.612
0.216 7.534 -1.060
Be Zn Te
1 1 2
Direct
0.500 0.750 0.750 Be
0.500 0.250 0.250 Zn
0.000 0.791 0.988 Te
0.000 0.709 0.512 Te
```


No. 2
Compound: AcNdSmDy3
Source: Alexandria via LeMat-Bulk
Functional: GGA-PBE
Structure: relaxed

Results
DFT formation energy (meV/atom): 224
Magnetic moment (μB per formula unit): 0.00

The structure in POSCAR format:
```
AcNdSmDy3
1.0
5.722 0.000 0.000
-2.861 10.073 1.694
0.000 -1.214 7.154
Ac Nd Sm Dy
2 2 2 6
Direct
0.355 0.710 0.967 Ac
0.645 0.290 0.033 Ac
0.055 0.111 0.283 Nd
0.945 0.889 0.717 Nd
0.650 0.300 0.473 Sm
0.350 0.700 0.527 Sm
0.833 0.665 0.267 Dy
0.781 0.561 0.748 Dy
0.479 0.958 0.270 Dy
0.219 0.439 0.252 Dy
0.521 0.042 0.730 Dy
0.167 0.335 0.733 Dy
```